Record 1
Below is crystalline Li2NpNiF8 at its relaxed geometry, with properties calculated at the PBE+U level.

N(E_F), states/eV/f.u.: 11.98
Crystal system: triclinic
E_tot, eV per cell: -69.3

a = 4.7376 Å, b = 4.7971 Å, c = 6.7558 Å
α = 88.68°, β = 88.90°, γ = 89.29°
Each line ends with the local moment (μB).
Element x y z (fractional)
F  0.6861  0.6922  0.5187  -0.03
Li  0.4885  0.4890  0.1946  0.00
F  0.1985  0.7946  0.2412  0.01
F  0.2039  0.8005  0.7600  0.01
F  0.8015  0.2054  0.7588  0.01
F  0.7961  0.1995  0.2400  0.01
F  0.7100  0.7119  0.0039  0.02
Li  0.5115  0.5110  0.8054  0.00
Ni  0.0000  0.0000  0.0000  1.84
Np  0.0000  0.0000  0.5000  3.08
F  0.3139  0.3078  0.4813  -0.03
F  0.2900  0.2881  0.9961  0.02

---

Record 2
Below is crystalline Li8NiO5F at its relaxed geometry, with properties calculated at the PBE+U level.

Crystal system: triclinic
E_tot, eV per cell: -70.8

a = 5.3465 Å, b = 5.3821 Å, c = 5.8418 Å
α = 91.09°, β = 115.72°, γ = 115.57°
Each line ends with the local moment (μB).
Element x y z (fractional)
Ni  0.9434  0.9589  0.9714  2.06
O  0.8662  0.1023  0.2365  0.15
O  0.1589  0.7668  0.2307  0.13
Li  0.7593  0.5207  0.6531  0.01
Li  0.2449  0.4702  0.3581  0.01
Li  0.7251  0.3629  0.0158  0.00
O  0.8212  0.2129  0.7548  0.16
F  0.5345  0.4298  0.2710  0.01
Li  0.1299  0.2325  0.6616  0.01
O  0.5079  0.5949  0.7655  0.13
Li  0.3137  0.6806  0.9755  0.00
Li  0.5746  0.0938  0.3458  0.01
Li  0.8956  0.7914  0.3636  0.00
O  0.1182  0.8911  0.7540  0.15
Li  0.4066  0.8913  0.6429  0.01

---

Record 3
Below is crystalline Li7NiO4F2 at its relaxed geometry, with properties calculated at the PBE+U level.

N(E_F), states/eV/f.u.: 0.00
Crystal system: triclinic
E_tot, eV per cell: -131.0

a = 5.8016 Å, b = 5.6884 Å, c = 11.0055 Å
α = 95.88°, β = 82.91°, γ = 121.47°
Each line ends with the local moment (μB).
Element x y z (fractional)
F  0.1171  0.3455  0.8624  0.00
O  0.7298  0.3238  0.0996  0.06
F  0.7621  0.6185  0.8642  0.00
Ni  0.6614  0.9931  0.1681  1.75
F  0.0371  0.7366  0.3629  0.00
Li  0.2878  0.1700  0.7743  0.00
O  0.3581  0.0392  0.6034  0.01
Li  0.6419  0.2762  0.9393  0.00
Li  0.0585  0.3256  0.0449  0.00
O  0.2427  0.7266  0.6102  0.05
O  0.0231  0.0145  0.1272  0.06
Li  0.0049  0.6706  0.1611  0.00
Li  0.0917  0.6236  0.7880  0.00
O  0.3737  0.9553  0.8631  0.00
Li  0.2745  0.6085  0.2936  0.00
O  0.3466  0.6400  0.1205  0.04
Li  0.9064  0.2108  0.4756  0.00
Li  0.5563  0.9562  0.7121  0.00
Li  0.0227  0.8141  0.5335  0.00
Li  0.4055  0.3314  0.1463  0.00
Li  0.4171  0.1150  0.4115  0.00
O  0.6370  0.9586  0.3607  0.09
Ni  0.4799  0.6680  0.4778  1.71
Li  0.9955  0.0173  0.3004  0.00
Li  0.4590  0.7205  0.9442  0.00
F  0.7952  0.9319  0.5926  0.01
O  0.2600  0.3330  0.3936  0.06
Li  0.0545  0.8758  0.9688  0.00